1.
TlAgAsO | PBE | relaxed

## Properties
The total energy is -29.6 eV for the cell shown. The value obtained for the excess energy over the best structure of this formula in the dataset is 0.0786 eV/atom.

```
data_TlAgAsO
_chemical_formula_sum 'Tl2 Ag2 As2 O2'
_cell_length_a 4.101
_cell_length_b 4.101
_cell_length_c 9.174
_cell_angle_alpha 90.00
_cell_angle_beta 90.00
_cell_angle_gamma 90.00
_space_group_name_H-M_alt 'P 4/n m m'
_space_group_IT_number 129
loop_
_space_group_symop_operation_xyz
'x,y,z'
'-x,-y,-z'
'-y+1/2,x,z'
'y+1/2,-x,-z'
'-x+1/2,-y+1/2,z'
'x+1/2,y+1/2,-z'
'y,-x+1/2,z'
'-y,x+1/2,-z'
'x+1/2,-y,-z'
'-x+1/2,y,z'
'-y,-x,-z'
'y,x,z'
'-x,y+1/2,-z'
'x,-y+1/2,z'
'y+1/2,x+1/2,-z'
'-y+1/2,-x+1/2,z'
loop_
_atom_site_label
_atom_site_type_symbol
_atom_site_fract_x
_atom_site_fract_y
_atom_site_fract_z
Tl1 Tl 0.250 0.250 0.120
Ag1 Ag 0.250 0.750 0.500
As1 As 0.250 0.250 0.686
O1 O 0.250 0.750 0.000
```


2.
TlAgAsO | PBE | relaxed

## Properties
The total energy is -30.2 eV for the cell shown. The value obtained for the excess energy over the best structure of this formula in the dataset is 0.0000 eV/atom.

```
data_TlAgAsO
_chemical_formula_sum 'Tl2 Ag2 As2 O2'
_cell_length_a 3.414
_cell_length_b 6.966
_cell_length_c 7.085
_cell_angle_alpha 90.00
_cell_angle_beta 90.00
_cell_angle_gamma 90.00
_space_group_name_H-M_alt 'P m c 21'
_space_group_IT_number 26
loop_
_space_group_symop_operation_xyz
'x,y,z'
'-x,-y,z+1/2'
'-x,y,z'
'x,-y,z+1/2'
loop_
_atom_site_label
_atom_site_type_symbol
_atom_site_fract_x
_atom_site_fract_y
_atom_site_fract_z
Tl1 Tl 0.000 0.144 0.000
Ag1 Ag 0.500 0.395 0.604
As1 As 0.000 0.224 0.383
O1 O 0.500 0.332 0.911
```


3.
AgAs5Os3 | PBE | relaxed

## Properties
The total magnetization is 0.28 μB/f.u. The total energy is -55.5 eV for the cell shown.

```
data_AgAs5Os3
_chemical_formula_sum 'Ag1 As5 Os3'
_cell_length_a 5.5017
_cell_length_b 5.5017
_cell_length_c 7.1117
_cell_angle_alpha 90.00
_cell_angle_beta 90.00
_cell_angle_gamma 120.00
_space_group_name_H-M_alt 'P 6/m m m'
_space_group_IT_number 191
_space_group_name_Hall '-P 6 2'
loop_
_atom_site_label
_atom_site_type_symbol
_atom_site_fract_x
_atom_site_fract_y
_atom_site_fract_z
Ag1 Ag 0.0000 0.0000 0.0000
As1 As 0.0000 0.0000 0.5000
As2 As 0.3333 0.6667 0.2230
Os1 Os 0.0000 0.5000 0.5000
```